No. 1
This record from Alexandria describes crystalline YCd2P at its relaxed geometry. The functional is PBE-GGA.

Computed properties:
**Formation energy from the elements**: -0.49 eV/atom
**Calculated total energy**: -3.92 eV per atom

Cell: 4.067 4.067 5.387 Å, 90.00 90.00 90.00°
Fractional positions:
Y (0.000, 0.000, 0.000)
Cd (0.000, 0.500, 0.500)
Cd (0.500, 0.000, 0.500)
P (0.500, 0.500, 0.000)

---

No. 2
This record from Alexandria describes crystalline Y2CdP at its relaxed geometry. The functional is PBE-GGA.

Computed properties:
**Formation energy from the elements**: -0.36 eV/atom
**Calculated total energy**: -5.18 eV per atom

Cell: 8.577 8.577 8.577 Å, 26.56 26.56 26.56°
Fractional positions:
Y (0.000, 0.000, 0.000)
Y (0.213, 0.213, 0.213)
Cd (0.452, 0.452, 0.452)
P (0.727, 0.727, 0.727)

---

Question: What is the formation energy from the elements in the first record?
Answer: -0.49 eV/atom

---

Question: Among the records above, which one has the highest calculated total energy?
Answer: YCd2P